Record 1
This record from OQMD via LeMat-Bulk describes a relaxed Gd3AlN crystal. The functional is PBE-GGA.

Cell: 4.8260 4.8260 4.8260 Å, 90.00 90.00 90.00°
Fractional coordinates of all 5 atoms:
Gd (0.5000, 0.5000, 0.0000)
Gd (0.0000, 0.5000, 0.5000)
Gd (0.5000, 0.0000, 0.5000)
N (0.5000, 0.5000, 0.5000)
Al (0.0000, 0.0000, 0.0000)

Values from the calculation:
SG: Pm-3m, No. 221
Total magnetic moment: 0.00 μB/f.u.
Uncorrected energy: -30.45 eV per cell

Record 2
This record from OQMD via LeMat-Bulk describes a relaxed BaFeCoP2 crystal. The functional is PBE-GGA.

Cell: 6.8110 6.8110 6.8110 Å, 147.87 147.87 46.07°
Fractional coordinates of all 5 atoms:
Fe (0.7500, 0.2500, 0.5000)
P (0.3413, 0.3413, 0.0000)
P (0.6587, 0.6587, 0.0000)
Ba (0.0000, 0.0000, 0.0000)
Co (0.2500, 0.7500, 0.5000)

Values from the calculation:
SG: I-4m2, No. 119
Total magnetic moment: 0.00 μB/f.u.
Uncorrected energy: -32.36 eV per cell

Record 3
This record from OQMD via LeMat-Bulk describes a relaxed NpTa crystal. The functional is PBE-GGA.

Cell: 4.1944 4.1944 4.1944 Å, 60.00 60.00 60.00°
Fractional coordinates of all 2 atoms:
Np (0.0000, 0.0000, 0.0000)
Ta (0.2500, 0.2500, 0.2500)

Values from the calculation:
SG: F-43m, No. 216
Formation energy: 2.3998 eV/atom
Total magnetic moment: 1.12 μB/f.u.
Uncorrected energy: -19.82 eV per cell

Record 4
This record from OQMD via LeMat-Bulk describes a relaxed AcTcTe crystal. The functional is PBE-GGA.

Cell: 5.0763 5.0763 5.0763 Å, 60.00 60.00 60.00°
Fractional coordinates of all 3 atoms:
Te (0.0000, 0.0000, 0.0000)
Ac (0.2500, 0.2500, 0.2500)
Tc (0.7500, 0.7500, 0.7500)

Values from the calculation:
SG: F-43m, No. 216
Total magnetic moment: 2.10 μB/f.u.
Uncorrected energy: -16.67 eV per cell

Record 5
This record from OQMD via LeMat-Bulk describes a relaxed GaTcTe crystal. The functional is PBE-GGA.

Cell: 4.4322 4.4322 4.4322 Å, 60.00 60.00 60.00°
Fractional coordinates of all 3 atoms:
Tc (0.2500, 0.2500, 0.2500)
Ga (0.5000, 0.5000, 0.5000)
Te (0.0000, 0.0000, 0.0000)

Values from the calculation:
SG: F-43m, No. 216
Total magnetic moment: 0.01 μB/f.u.
Uncorrected energy: -15.90 eV per cell

Record 6
This record from OQMD via LeMat-Bulk describes a relaxed Sn2Os2W3 crystal. The functional is PBE-GGA.

Cell: 7.1470 7.1470 7.1470 Å, 36.78 36.78 36.78°
Fractional coordinates of all 7 atoms:
W (0.6269, 0.6269, 0.6269)
W (0.9168, 0.9168, 0.9168)
W (0.3383, 0.3383, 0.3383)
Sn (0.1956, 0.1956, 0.1956)
Sn (0.7681, 0.7681, 0.7681)
Os (0.0466, 0.0466, 0.0466)
Os (0.4828, 0.4828, 0.4828)

Values from the calculation:
SG: R3m, No. 160
Total magnetic moment: 0.00 μB/f.u.
Uncorrected energy: -66.73 eV per cell